# 1
Material: Pr2AlTc
Method: DFT, PBE
State: relaxed

Structure (extended XYZ):
```
12
Lattice="3.262 0.000 0.000 -1.631 2.825 0.000 0.000 0.000 32.422" Properties=species:S:1:pos:R:3 pbc="T T T"
Pr 0.000 0.000 2.736
Pr 0.000 0.000 29.686
Pr 0.000 1.883 18.878
Pr 0.000 1.883 24.351
Pr 1.631 0.942 8.071
Pr 1.631 0.942 13.544
Al 0.000 0.000 16.211
Al 0.000 1.883 5.404
Al 1.631 0.942 27.018
Tc 0.000 0.000 0.000
Tc 0.000 1.883 21.615
Tc 1.631 0.942 10.807
```

Output
symmetry	R-3m (166)
energy of formation from the pure elements	0.66	eV per atom


# 2
Material: Pr4AlSe2Br
Method: DFT, PBE
State: relaxed

Structure (extended XYZ):
```
8
Lattice="7.535 0.000 0.000 0.000 4.170 0.000 -2.340 0.000 7.324" Properties=species:S:1:pos:R:3 pbc="T T T"
Pr 1.229 0.000 1.669
Pr 0.049 2.085 5.529
Pr 5.146 2.085 1.794
Pr 3.966 0.000 5.654
Al 3.767 0.000 0.000
Se -1.170 0.000 3.662
Se 0.000 2.085 0.000
Br 2.597 2.085 3.662
```

Output
raw total energy	-0.19225	Ha/atom
symmetry	P2/m (10)


# 3
Material: BaTlCd2In
Method: DFT, PBE
State: relaxed

Structure (extended XYZ):
```
5
Lattice="6.435 0.000 0.000 0.000 6.435 0.000 0.000 0.000 6.495" Properties=species:S:1:pos:R:3 pbc="T T T"
Ba 0.000 0.000 0.000
Tl 3.218 3.218 3.248
Cd 0.000 3.218 0.000
Cd 3.218 0.000 0.000
In 0.000 0.000 3.248
```

Output
symmetry	P4/mmm (123)
energy of formation from the pure elements	0.62	eV per atom
E above lowest polymorph	903	meV/atom


# 4
Material: Ce4TlAu
Method: DFT, PBE
State: relaxed

Structure (extended XYZ):
```
12
Lattice="8.233 -2.788 0.000 8.233 2.788 0.000 -1.915 0.000 7.408" Properties=species:S:1:pos:R:3 pbc="T T T"
Ce 6.060 2.238 3.942
Ce 3.803 1.128 6.618
Ce 7.533 2.238 7.170
Ce 9.790 1.128 4.494
Ce 4.761 -1.128 2.914
Ce 7.018 -2.238 0.238
Ce 10.748 -1.128 0.790
Ce 8.491 -2.238 3.466
Tl 7.755 0.483 1.852
Tl 6.797 -0.483 5.556
Au 3.159 1.394 3.704
Au 4.117 -1.394 0.000
```

Output
symmetry	C2/c (15)
energy of formation from the pure elements	-0.19	eV per atom
E above lowest polymorph	19	meV/atom


# 5
Material: CrNi14Os
Method: DFT, PBE
State: relaxed

Structure (extended XYZ):
```
16
Lattice="5.032 0.000 0.000 0.000 5.032 0.000 0.000 0.000 7.045" Properties=species:S:1:pos:R:3 pbc="T T T"
Cr 0.000 0.000 0.000
Ni 0.000 0.000 3.523
Ni 0.000 2.516 0.000
Ni 0.000 2.516 3.523
Ni 1.255 1.255 1.770
Ni 1.255 1.255 5.275
Ni 1.255 3.777 1.770
Ni 1.255 3.777 5.275
Ni 2.516 0.000 0.000
Ni 2.516 0.000 3.523
Ni 2.516 2.516 3.523
Ni 3.777 1.255 1.770
Ni 3.777 1.255 5.275
Ni 3.777 3.777 1.770
Ni 3.777 3.777 5.275
Os 2.516 2.516 0.000
```

Output
symmetry	P4/mmm (123)
energy of formation from the pure elements	0.03	eV per atom


# 6
Material: TaCd2Te
Method: DFT, PBE
State: relaxed

Structure (extended XYZ):
```
4
Lattice="3.020 0.000 0.000 0.000 5.158 0.000 -0.008 0.000 5.655" Properties=species:S:1:pos:R:3 pbc="T T T"
Ta 0.000 0.000 0.000
Cd 1.500 2.579 4.337
Cd 1.508 0.000 2.834
Te -0.001 2.579 1.336
```

Output
raw total energy	-0.14340	Ha/atom
symmetry	Pm (6)


# 7
Material: V2Fe2Ge
Method: DFT, PBE
State: relaxed

Structure (extended XYZ):
```
10
Lattice="6.694 0.000 0.000 0.000 6.694 0.000 0.000 0.000 2.807" Properties=species:S:1:pos:R:3 pbc="T T T"
V 1.097 2.250 0.000
V 2.250 5.597 0.000
V 4.444 1.097 0.000
V 5.597 4.444 0.000
Fe 0.889 4.236 1.403
Fe 2.458 0.889 1.403
Fe 4.236 5.805 1.403
Fe 5.805 2.458 1.403
Ge 0.000 0.000 1.403
Ge 3.347 3.347 1.403
```

Output
symmetry	P4/mbm (127)
energy of formation from the pure elements	-0.04	eV per atom


# 8
Material: Cs2NpTa3O12
Method: DFT, PBE
State: relaxed

Structure (extended XYZ):
```
18
Lattice="3.745 2.162 6.323 -3.745 2.162 6.323 0.000 -4.324 6.323" Properties=species:S:1:pos:R:3 pbc="T T T"
Cs 0.000 0.000 2.173
Cs 0.000 0.000 16.794
Np 0.000 0.000 9.484
Ta -1.872 -1.081 6.323
Ta -1.872 1.081 12.645
Ta 0.000 2.162 6.323
O -1.424 -0.822 8.301
O 0.000 -1.610 5.980
O -1.394 0.805 5.980
O 0.000 -1.644 10.667
O -1.394 -0.805 12.988
O -1.424 0.822 10.667
O 1.424 -0.822 8.301
O 1.394 0.805 5.980
O 0.000 1.644 8.301
O 1.394 -0.805 12.988
O 0.000 1.610 12.988
O 1.424 0.822 10.667
```

Output
raw total energy	-0.32289	Ha/atom
symmetry	R-3m (166)


# 9
Material: Tb2DyEr6Sc3
Method: DFT, PBE
State: relaxed

Structure (extended XYZ):
```
12
Lattice="3.005 -5.200 0.000 3.005 5.200 0.000 -1.999 0.000 11.237" Properties=species:S:1:pos:R:3 pbc="T T T"
Tb 3.005 3.467 0.000
Tb 3.005 -3.467 0.000
Dy 3.005 0.000 0.000
Er 0.002 1.733 8.325
Er 1.004 0.000 2.914
Er 0.002 -1.733 8.325
Er 4.009 1.733 2.912
Er 3.006 0.000 8.323
Er 4.009 -1.733 2.912
Sc -0.999 0.000 5.618
Sc 2.005 1.734 5.618
Sc 2.005 -1.734 5.618
```

Output
symmetry	C2/m (12)
energy of formation from the pure elements	0.04	eV per atom


# 10
Material: Zn2CoTc
Method: DFT, PBE
State: relaxed

Structure (extended XYZ):
```
4
Lattice="3.696 0.000 0.000 0.000 3.696 0.000 0.000 0.000 3.926" Properties=species:S:1:pos:R:3 pbc="T T T"
Zn 0.000 1.848 0.000
Zn 1.848 0.000 0.000
Co 0.000 0.000 1.963
Tc 1.848 1.848 1.963
```

Output
symmetry	P4/mmm (123)
energy of formation from the pure elements	0.11	eV per atom
E above lowest polymorph	125	meV/atom


# 11
Material: Pr2AlFe2Co5
Method: DFT, PBE
State: relaxed

Structure (extended XYZ):
```
20
Lattice="9.681 0.000 0.000 0.000 9.681 0.000 0.000 0.000 3.331" Properties=species:S:1:pos:R:3 pbc="T T T"
Pr 1.740 3.100 0.000
Pr 3.100 7.941 0.000
Pr 6.580 1.740 0.000
Pr 7.941 6.580 0.000
Al 0.000 0.000 0.000
Al 4.840 4.840 0.000
Fe 1.174 6.014 0.000
Fe 3.667 1.174 0.000
Fe 6.014 8.507 0.000
Fe 8.507 3.667 0.000
Co 0.000 4.840 1.665
Co 0.550 7.693 1.665
Co 1.988 0.550 1.665
Co 2.852 5.390 1.665
Co 4.291 2.852 1.665
Co 4.840 0.000 1.665
Co 5.390 6.829 1.665
Co 6.829 4.291 1.665
Co 7.693 9.131 1.665
Co 9.131 1.988 1.665
```

Output
symmetry	P4/mbm (127)
energy of formation from the pure elements	0.09	eV per atom


# 12
Material: GdTh2Au
Method: DFT, PBE
State: relaxed

Structure (extended XYZ):
```
12
Lattice="3.480 0.000 0.000 -1.740 3.014 0.000 0.000 0.000 35.383" Properties=species:S:1:pos:R:3 pbc="T T T"
Gd 0.000 0.000 0.000
Gd 0.000 2.009 23.589
Gd 1.740 1.005 11.794
Th 0.000 0.000 14.761
Th 0.000 0.000 20.622
Th 0.000 2.009 2.967
Th 0.000 2.009 8.828
Th 1.740 1.005 26.555
Th 1.740 1.005 32.416
Au 0.000 0.000 17.691
Au 0.000 2.009 5.897
Au 1.740 1.005 29.486
```

Output
symmetry	R-3m (166)
energy of formation from the pure elements	0.25	eV per atom
E above lowest polymorph	476	meV/atom


# 13
Material: GeSe3Cl
Method: DFT, PBE
State: relaxed

Structure (extended XYZ):
```
10
Lattice="6.788 0.000 0.000 -1.500 6.918 0.000 -1.556 -0.404 7.301" Properties=species:S:1:pos:R:3 pbc="T T T"
Ge 0.000 0.000 0.000
Ge 0.993 2.376 6.499
Se -0.573 0.571 5.147
Se 0.297 5.096 0.043
Se 1.925 6.357 1.257
Se 2.902 0.531 6.176
Se 3.949 5.182 1.160
Se 4.341 1.989 4.836
Cl 0.603 1.402 1.631
Cl 1.590 3.528 4.621
```

Output
symmetry	P1 (1)
E above lowest polymorph	0	meV/atom